An optimized crystal structure of Li5V5Ni2O12. Source: the Alexandria database, functional PBE+U.

Cell and atoms, written as POSCAR:
```
Li5V5Ni2O12
1.0
-5.0415 0.4661 1.0147
3.2884 -1.1796 3.8024
0.6875 9.2598 3.4123
O Li Ni V
12 5 2 5
Direct
0.7721 0.9450 0.3773
0.9443 0.7866 0.8814
0.0550 0.2279 0.6227
0.6382 0.1511 0.8794
0.3707 0.8459 0.6267
0.4681 0.2847 0.3753
0.5477 0.7304 0.1173
0.2696 0.4523 0.8827
0.2134 0.0557 0.1186
0.7153 0.5319 0.6247
0.8489 0.3618 0.1206
0.1541 0.6293 0.3733
0.1505 0.3125 0.2647
0.6875 0.8495 0.7353
0.8411 0.6636 0.2633
0.0822 0.9178 0.5000
0.3364 0.1589 0.7367
0.2438 0.7562 0.0000
0.7562 0.2438 0.5000
0.4876 0.9974 0.2594
0.4264 0.5736 0.5000
0.5748 0.4252 0.0000
0.9135 0.0865 0.0000
0.0026 0.5124 0.7406
```

Properties
The calculation puts the final energy at -6.554 eV/atom.